No. 1
This record from Alexandria describes a relaxed Tb4NdY crystal. The functional is GGA-PBE.

Cell and atoms, written as POSCAR:
```
Tb4NdY
1.0
5.057 0.000 0.000
-2.521 5.674 0.000
-0.002 -2.266 6.801
Tb Nd Y
4 1 1
Cartesian
0.002 1.138 2.266
0.001 0.014 5.675
2.534 3.394 1.126
2.533 2.270 4.536
2.528 -1.133 3.401
2.529 0.000 0.000
```

## Properties
DOS at the Fermi energy in states/eV per atom: 1.36
Calculated formation energy in meV per atom: 18
Total DFT energy (no corrections) in eV/atom: -4.941
Total magnetization in μB/f.u.: 0.00

=====

No. 2
This record from Alexandria describes a relaxed TmZrAg4 crystal. The functional is GGA-PBE.

Cell and atoms, written as POSCAR:
```
TmZrAg4
1.0
3.624 0.000 0.000
0.000 3.624 0.000
0.000 0.000 9.178
Tm Zr Ag
1 1 4
Cartesian
0.000 0.000 0.000
1.812 1.812 4.589
0.000 0.000 3.059
0.000 0.000 6.119
1.812 1.812 1.596
1.812 1.812 7.581
```

## Properties
DOS at the Fermi energy in states/eV per atom: 0.43
Calculated formation energy in meV per atom: -182
Total DFT energy (no corrections) in eV/atom: -4.253
Total magnetization in μB/f.u.: 0.46

=====

No. 3
This record from Alexandria describes a relaxed CuS4 crystal. The functional is GGA-PBE.

Cell and atoms, written as POSCAR:
```
CuS4
1.0
3.645 0.000 0.000
1.814 5.144 0.000
1.820 1.342 6.785
Cu S
1 4
Cartesian
0.000 0.000 0.000
3.636 4.290 3.176
3.643 2.158 5.629
3.636 4.329 1.156
3.644 2.197 3.609
```

## Properties
DOS at the Fermi energy in states/eV per atom: 0.33
Total DFT energy (no corrections) in eV/atom: -4.099
Total magnetization in μB/f.u.: 0.00
Formation energy from raw total energies in eV/atom: 0.0227

=====

No. 4
This record from Alexandria describes a relaxed Y4Hg3Au2 crystal. The functional is GGA-PBE.

Cell and atoms, written as POSCAR:
```
Y4Hg3Au2
1.0
5.067 0.000 0.000
-2.534 4.388 0.000
0.000 0.000 9.914
Y Hg Au
4 3 2
Cartesian
0.000 0.000 1.695
0.000 0.000 8.218
0.000 2.925 3.808
2.534 1.463 6.106
0.000 0.000 4.957
0.000 2.925 0.331
2.534 1.463 9.582
0.000 2.925 6.817
2.534 1.463 3.097
```

## Properties
DOS at the Fermi energy in states/eV per atom: 0.72
Calculated formation energy in meV per atom: -583
Total DFT energy (no corrections) in eV/atom: -4.284
Total magnetization in μB/f.u.: 0.00

=====

No. 5
This record from Alexandria describes a relaxed SiSnSbTe2 crystal. The functional is GGA-PBE.

Cell and atoms, written as POSCAR:
```
SiSnSbTe2
1.0
5.284 0.000 0.000
0.000 5.284 0.000
0.000 0.000 5.293
Si Sn Sb Te
1 1 1 2
Cartesian
0.000 0.000 0.000
2.642 2.642 2.646
0.000 0.000 2.646
0.000 2.642 0.000
2.642 0.000 0.000
```

## Properties
DOS at the Fermi energy in states/eV per atom: 0.74
Total DFT energy (no corrections) in eV/atom: -3.588
Total magnetization in μB/f.u.: 0.00
Formation energy from raw total energies in eV/atom: 0.3781

=====

No. 6
This record from Alexandria describes a relaxed Ca3ScGe crystal. The functional is GGA-PBE.

Cell and atoms, written as POSCAR:
```
Ca3ScGe
1.0
5.823 0.000 0.000
0.000 5.823 0.000
0.000 0.000 5.823
Ca Sc Ge
3 1 1
Cartesian
0.000 0.000 2.912
0.000 2.912 0.000
2.912 0.000 0.000
0.000 0.000 0.000
2.912 2.912 2.912
```

## Properties
DOS at the Fermi energy in states/eV per atom: 0.61
Calculated formation energy in meV per atom: 897
Total DFT energy (no corrections) in eV/atom: -2.494
Total magnetization in μB/f.u.: 2.90

=====

No. 7
This record from Alexandria describes a relaxed NdCuPdRh crystal. The functional is GGA-PBE.

Cell and atoms, written as POSCAR:
```
NdCuPdRh
1.0
0.000 3.308 3.308
3.308 0.000 3.308
3.308 3.308 0.000
Nd Cu Pd Rh
1 1 1 1
Cartesian
0.000 0.000 0.000
3.308 3.308 3.308
1.654 1.654 1.654
4.961 4.961 4.961
```

## Properties
DOS at the Fermi energy in states/eV per atom: 0.50
Calculated formation energy in meV per atom: -358
Total DFT energy (no corrections) in eV/atom: -5.710
Total magnetization in μB/f.u.: 0.00

=====

No. 8
This record from Alexandria describes a relaxed TaSi2Tc crystal. The functional is GGA-PBE.

Cell and atoms, written as POSCAR:
```
TaSi2Tc
1.0
4.450 -1.521 0.000
4.450 1.521 0.000
-1.127 0.000 4.309
Ta Si Tc
1 2 1
Cartesian
0.000 0.000 0.000
3.815 0.000 2.101
6.450 0.000 0.886
1.309 0.000 2.797
```

## Properties
DOS at the Fermi energy in states/eV per atom: 0.40
Total DFT energy (no corrections) in eV/atom: -8.610
Total magnetization in μB/f.u.: 0.00
Formation energy from raw total energies in eV/atom: -0.3440